No. 1
InGe3As | PBE-GGA | relaxed

Properties
Energy relative to the elements   0.61 eV per atom
Distance to the lowest polymorph of the same formula   0.000 eV per formula unit
Density of states at the Fermi level   0.5091 states/eV/atom
DFT total energy   -18.18 eV/f.u.

Lattice parameters (Å, degrees): 5.0698 5.0698 5.0698 90.00 90.00 90.00
Positions (direct):
Ge (0.0000, 0.5000, 0.0000)
Ge (0.5000, 0.0000, 0.0000)
Ge (0.0000, 0.0000, 0.5000)
In (0.5000, 0.5000, 0.5000)
As (0.0000, 0.0000, 0.0000)


No. 2
Tb6Dy2Er5 | PBE-GGA | relaxed

Properties
Energy relative to the elements   0.10 eV per atom
Density of states at the Fermi level   1.1552 states/eV/atom
DFT total energy   -58.51 eV/f.u.

Lattice parameters (Å, degrees): 3.5597 11.5582 20.0594 90.00 90.00 90.00
Positions (direct):
Er (0.5000, 0.0000, 0.5000)
Dy (0.0000, 0.8341, 0.2109)
Tb (0.5000, 0.8271, 0.3666)
Er (0.5000, 0.0921, 0.2259)
Tb (0.0000, 0.0587, 0.0803)
Tb (0.0000, 0.5587, 0.4197)
Er (0.5000, 0.9079, 0.7741)
Er (0.5000, 0.5000, 0.0000)
Dy (0.0000, 0.1659, 0.7891)
Tb (0.5000, 0.1729, 0.6334)
Dy (0.0000, 0.6659, 0.7109)
Tb (0.0000, 0.5831, 0.1323)
Er (0.5000, 0.5921, 0.2741)
Tb (0.0000, 0.0831, 0.3677)
Er (0.5000, 0.1984, 0.9485)
Tb (0.0000, 0.4169, 0.8677)
Tb (0.5000, 0.6729, 0.8666)
Er (0.5000, 0.6984, 0.5515)
Er (0.5000, 0.3016, 0.4485)
Er (0.5000, 0.4079, 0.7259)
Dy (0.0000, 0.3341, 0.2891)
Tb (0.0000, 0.9413, 0.9197)
Tb (0.0000, 0.4413, 0.5803)
Tb (0.0000, 0.9169, 0.6323)
Tb (0.5000, 0.3271, 0.1334)
Er (0.5000, 0.8016, 0.0515)


No. 3
MgTaZnOs | PBE-GGA | relaxed

Properties
Energy relative to the elements   -0.06 eV per atom
Density of states at the Fermi level   1.0103 states/eV/atom
DFT total energy   -26.21 eV/f.u.

Lattice parameters (Å, degrees): 4.4787 4.4787 4.4787 60.00 60.00 60.00
Positions (direct):
Mg (0.0000, 0.0000, 0.0000)
Ta (0.5000, 0.5000, 0.5000)
Os (0.2500, 0.2500, 0.2500)
Zn (0.7500, 0.7500, 0.7500)


No. 4
Ca3BI3N2 | PBE-GGA | relaxed

Properties
Density of states at the Fermi level   0.0000 states/eV/atom
DFT total energy   -46.83 eV/f.u.
Formation energy without anion corrections   -1427 meV per atom

Lattice parameters (Å, degrees): 10.6163 10.6163 10.6163 105.36 105.36 105.36
Positions (direct):
Ca (0.9775, 0.7638, 0.7355)
Ca (0.0225, 0.2645, 0.2362)
I (0.0000, 0.5045, 0.4955)
I (0.0000, 0.2260, 0.7740)
Ca (0.7638, 0.7355, 0.9775)
B (0.2369, 0.0000, 0.7631)
B (0.0000, 0.7631, 0.2369)
N (0.6548, 0.1304, 0.8957)
I (0.2499, 0.2627, 0.5262)
I (0.5262, 0.2499, 0.2627)
N (0.8957, 0.6548, 0.1304)
I (0.7373, 0.7501, 0.4738)
N (0.1304, 0.8957, 0.6548)
I (0.2627, 0.5262, 0.2499)
Ca (0.5000, 0.2210, 0.7790)
N (0.3452, 0.1043, 0.8696)
Ca (0.7355, 0.9775, 0.7638)
Ca (0.9848, 0.5000, 0.0152)
Ca (0.5000, 0.0152, 0.9848)
N (0.1043, 0.8696, 0.3452)
I (0.7740, 0.0000, 0.2260)
Ca (0.0152, 0.9848, 0.5000)
Ca (0.2645, 0.2362, 0.0225)
I (0.4738, 0.7373, 0.7501)
N (0.1072, 0.1072, 0.1072)
I (0.2260, 0.7740, 0.0000)
Ca (0.2210, 0.7790, 0.5000)
I (0.7501, 0.4738, 0.7373)
Ca (0.2362, 0.0225, 0.2645)
B (0.7631, 0.2369, 0.0000)
Ca (0.7790, 0.5000, 0.2210)
B (0.0000, 0.0000, 0.0000)
I (0.5045, 0.4955, 0.0000)
N (0.8928, 0.8928, 0.8928)
N (0.8696, 0.3452, 0.1043)
I (0.4955, 0.0000, 0.5045)


No. 5
Li2La2SmSi2 | PBE-GGA | relaxed

Properties
Density of states at the Fermi level   0.5710 states/eV/atom
DFT total energy   -32.08 eV/f.u.
Formation energy without anion corrections   -404 meV per atom

Lattice parameters (Å, degrees): 4.5214 4.5214 9.4724 76.19 76.19 60.00
Positions (direct):
Sm (0.0000, 0.0000, 0.0000)
Li (0.6030, 0.6030, 0.1911)
La (0.1312, 0.1312, 0.6065)
Si (0.7335, 0.7335, 0.7995)
La (0.8688, 0.8688, 0.3935)
Li (0.3970, 0.3970, 0.8089)
Si (0.2665, 0.2665, 0.2005)


No. 6
Fe8H4Ir | PBE-GGA | relaxed

Properties
Density of states at the Fermi level   0.7900 states/eV/atom
DFT total energy   -89.62 eV/f.u.

Lattice parameters (Å, degrees): 2.5753 6.6895 6.9719 81.23 79.36 78.90
Last column: magnetic moment on the atom in μB.
Positions (direct):
Fe (0.4794, 0.3325, 0.7087)  2.27
H (0.1818, 0.5055, 0.1309)  -0.03
Fe (0.1426, 0.3375, 0.3773)  2.46
Fe (0.8136, 0.3260, 0.0468)  2.21
Fe (0.8887, 0.6661, 0.5565)  2.46
Fe (0.2178, 0.6774, 0.8870)  2.21
Fe (0.8501, 0.0048, 0.2951)  2.13
H (0.3671, 0.8359, 0.4299)  -0.03
H (0.6643, 0.1675, 0.5039)  -0.03
Fe (0.5521, 0.6708, 0.2251)  2.27
H (0.8497, 0.4978, 0.8027)  -0.03
Ir (0.5157, 0.0017, 0.9669)  -0.08
Fe (0.1813, 0.9986, 0.6387)  2.13


Question: The lowest DFT total energy belongs to which entry?
Answer: Fe8H4Ir